Record 1
Entry from OQMD: crystalline UGa at its relaxed geometry (PBE-GGA).

Summary:
- Calculated total energy: -7.090 eV per atom

abc: 10.816 5.412 10.878
angles: 90.00 90.00 90.00
Space group Cmcm (No. 63)
Inequivalent atoms, fractional coordinates:
U (0.000, 0.000, 0.000) x4
U (0.000, 0.002, 0.250) x4
U (0.235, 0.000, 0.000) x8
Ga (0.000, 0.500, 0.126) x8
Ga (0.248, 0.253, 0.750) x8

=====

Record 2
Entry from OQMD: crystalline UGa at its relaxed geometry (PBE-GGA).

Summary:
- Calculated total energy: -7.263 eV per atom

abc: 2.9234 2.9234 5.2439
angles: 90.00 90.00 120.00
Space group P-6m2 (No. 187)
Inequivalent atoms, fractional coordinates:
U (0.0000, 0.0000, 0.0000) x1
Ga (0.3333, 0.6667, 0.5000) x1

=====

Record 3
Entry from OQMD: crystalline UGa at its relaxed geometry (PBE-GGA).

Summary:
- Calculated total energy: -6.529 eV per atom

abc: 5.780 5.780 5.780
angles: 90.00 90.00 90.00
Space group Fm-3m (No. 225)
Inequivalent atoms, fractional coordinates:
U (0.000, 0.000, 0.000) x4
Ga (0.000, 0.000, 0.500) x4

=====

What did the third record say?
Entry from OQMD: crystalline UGa at its relaxed geometry (PBE-GGA).

Summary:
- Calculated total energy: -6.529 eV per atom

abc: 5.780 5.780 5.780
angles: 90.00 90.00 90.00
Space group Fm-3m (No. 225)
Inequivalent atoms, fractional coordinates:
U (0.000, 0.000, 0.000) x4
Ga (0.000, 0.000, 0.500) x4

=====

Which value of calculated total energy does entry 1 give?
-7.090 eV per atom